NaTmP2O6 | Alexandria | PBE | relaxed; N(E_F) = 0.000 states/eV/atom; space-group type = C2/c; E_form (uncorrected) = -2.54 eV per atom
1.0
-0.9486 2.3481 -5.8471
-5.2676 -2.0343 2.9522
2.5101 6.2253 4.3325
P O Tm Na
4 12 2 2
direct
0.6685 0.9890 0.2419
0.3315 0.0110 0.7581
0.9890 0.6685 0.7419
0.0110 0.3315 0.2581
0.5770 0.7394 0.0715
0.9160 0.7159 0.9114
0.2606 0.4230 0.4285
0.9154 0.5173 0.2766
0.5173 0.9154 0.7766
0.4230 0.2606 0.9285
0.7159 0.9160 0.4114
0.7394 0.5770 0.5715
0.0846 0.4827 0.7234
0.2841 0.0840 0.5886
0.4827 0.0846 0.2234
0.0840 0.2841 0.0886
0.4671 0.5329 0.7500
0.5329 0.4671 0.2500
0.8848 0.1152 0.7500
0.1152 0.8848 0.2500